Record 1
An optimized crystal structure of Ce3Tm2Pb6. Source: the Alexandria database, functional GGA-PBE.

Properties
- electronic total energy (eV per atom) = -4.523
- space-group type = I4/mmm
- energy relative to the elements (kJ/mol of formula units) = -73
- spin magnetization (μB/atom) = 0.26

a b c (Å): 11.844 11.844 11.844
angles (deg): 151.09 151.09 41.35
Element x y z (fractional)
Ce  0.000  0.000  0.000
Ce  0.147  0.147  0.000
Ce  0.853  0.853  0.000
Tm  0.425  0.425  0.000
Tm  0.575  0.575  0.000
Pb  0.076  0.576  0.500
Pb  0.291  0.291  0.000
Pb  0.424  0.924  0.500
Pb  0.576  0.076  0.500
Pb  0.709  0.709  0.000
Pb  0.924  0.424  0.500

Record 2
An optimized crystal structure of FeAsPb. Source: the Alexandria database, functional GGA-PBE.

Properties
- electronic total energy (eV per atom) = -5.227
- space-group type = F-43m
- excess energy over the best structure of this formula in the dataset (eV per formula unit) = 1.07
- energy relative to the elements (kJ/mol of formula units) = 110
- spin magnetization (μB/atom) = 0.86

a b c (Å): 4.502 4.502 4.502
angles (deg): 60.00 60.00 60.00
Element x y z (fractional)
Fe  0.000  0.000  0.000
As  0.750  0.750  0.750
Pb  0.250  0.250  0.250

Record 3
An optimized crystal structure of Pm3SmAg3. Source: the Alexandria database, functional GGA-PBE.

Properties
- electronic total energy (eV per atom) = -4.051
- space-group type = C2/m
- energy relative to the elements (kJ/mol of formula units) = -80
- spin magnetization (μB/atom) = 0.00

a b c (Å): 7.468 7.468 7.140
angles (deg): 90.65 90.65 94.25
Element x y z (fractional)
Pm  0.180  0.820  0.000
Pm  0.266  0.734  0.500
Pm  0.366  0.366  0.137
Pm  0.634  0.634  0.863
Pm  0.734  0.266  0.500
Pm  0.820  0.180  0.000
Sm  0.256  0.256  0.641
Sm  0.744  0.744  0.359
Ag  0.001  0.517  0.769
Ag  0.069  0.069  0.318
Ag  0.483  0.999  0.231
Ag  0.517  0.001  0.769
Ag  0.931  0.931  0.682
Ag  0.999  0.483  0.231

Record 4
An optimized crystal structure of PrPuPaPb. Source: the Alexandria database, functional GGA-PBE.

Properties
- electronic total energy (eV per atom) = -7.931
- space-group type = F-43m
- energy relative to the elements (kJ/mol of formula units) = 57
- spin magnetization (μB/atom) = 1.77

a b c (Å): 5.395 5.395 5.395
angles (deg): 60.00 60.00 60.00
Element x y z (fractional)
Pr  0.000  0.000  0.000
Pu  0.500  0.500  0.500
Pa  0.750  0.750  0.750
Pb  0.250  0.250  0.250

Record 5
An optimized crystal structure of DyTmCdSn. Source: the Alexandria database, functional GGA-PBE.

Properties
- electronic total energy (eV per atom) = -3.967
- space-group type = F-43m
- energy relative to the elements (kJ/mol of formula units) = -181
- spin magnetization (μB/atom) = 0.00

a b c (Å): 5.256 5.256 5.256
angles (deg): 60.00 60.00 60.00
Element x y z (fractional)
Dy  0.000  0.000  0.000
Tm  0.500  0.500  0.500
Cd  0.250  0.250  0.250
Sn  0.750  0.750  0.750

Record 6
An optimized crystal structure of SbH2W2. Source: the Alexandria database, functional GGA-PBE.

Properties
- electronic total energy (eV per atom) = -6.956
- space-group type = I4/mmm
- spin magnetization (μB/atom) = 0.00

a b c (Å): 5.999 5.999 5.999
angles (deg): 148.56 148.56 45.05
Element x y z (fractional)
Sb  0.000  0.000  0.000
H  0.250  0.750  0.500
H  0.750  0.250  0.500
W  0.340  0.340  0.000
W  0.660  0.660  0.000

Record 7
An optimized crystal structure of Tb3AgPd5. Source: the Alexandria database, functional GGA-PBE.

Properties
- electronic total energy (eV per atom) = -5.224
- space-group type = I4/mcm
- excess energy over the best structure of this formula in the dataset (eV per formula unit) = 2.60
- energy relative to the elements (kJ/mol of formula units) = -416
- spin magnetization (μB/atom) = 0.00

a b c (Å): 8.107 8.107 8.107
angles (deg): 118.76 118.76 92.17
Element x y z (fractional)
Tb  0.129  0.629  0.758
Tb  0.250  0.250  0.000
Tb  0.371  0.129  0.500
Tb  0.629  0.871  0.500
Tb  0.750  0.750  0.000
Tb  0.871  0.371  0.242
Ag  0.250  0.750  0.500
Ag  0.750  0.250  0.500
Pd  0.000  0.000  0.000
Pd  0.059  0.166  0.500
Pd  0.166  0.666  0.108
Pd  0.334  0.441  0.500
Pd  0.441  0.941  0.108
Pd  0.500  0.500  0.000
Pd  0.559  0.059  0.892
Pd  0.666  0.559  0.500
Pd  0.834  0.334  0.892
Pd  0.941  0.834  0.500

Record 8
An optimized crystal structure of Nb3CrGa. Source: the Alexandria database, functional GGA-PBE.

Properties
- electronic total energy (eV per atom) = -7.811
- space-group type = Pm-3m
- excess energy over the best structure of this formula in the dataset (eV per formula unit) = 0.00
- energy relative to the elements (kJ/mol of formula units) = 367
- spin magnetization (μB/atom) = 0.00

a b c (Å): 4.603 4.603 4.603
angles (deg): 90.00 90.00 90.00
Element x y z (fractional)
Nb  0.000  0.000  0.500
Nb  0.000  0.500  0.000
Nb  0.500  0.000  0.000
Cr  0.000  0.000  0.000
Ga  0.500  0.500  0.500